# 1
Density functional theory data (SCAN) for a PBEsol-optimized structure of KTl3.

CIF file:
```
data_KTl3
_cell_length_a 3.380
_cell_length_b 6.323
_cell_length_c 6.687
_cell_angle_alpha 118.21
_cell_angle_beta 104.64
_cell_angle_gamma 90.00
_symmetry_space_group_name_H-M 'P 1'
_symmetry_Int_Tables_number 1
loop_
_symmetry_equiv_pos_as_xyz
'x,y,z'
loop_
_atom_site_label
_atom_site_fract_x
_atom_site_fract_y
_atom_site_fract_z
Tl1 0.500 0.491 0.000
Tl2 0.240 0.908 0.481
Tl3 0.760 0.427 0.519
K1 0.000 0.007 0.000
```

Calculated values
DOS at the Fermi energy	0.5026	states/eV/atom
DFT total energy	-56.4299	eV per atom
space-group type	No. 44



# 2
Density functional theory data (SCAN) for a PBEsol-optimized structure of Ta2MnAl.

CIF file:
```
data_Ta2MnAl
_cell_length_a 2.843
_cell_length_b 4.292
_cell_length_c 5.097
_cell_angle_alpha 90.00
_cell_angle_beta 101.28
_cell_angle_gamma 90.00
_symmetry_space_group_name_H-M 'P 1'
_symmetry_Int_Tables_number 1
loop_
_symmetry_equiv_pos_as_xyz
'x,y,z'
loop_
_atom_site_label
_atom_site_fract_x
_atom_site_fract_y
_atom_site_fract_z
Mn1 0.302 0.500 0.774
Al1 0.384 0.000 0.497
Ta1 0.042 0.000 0.965
Ta2 0.773 0.500 0.265
```

Calculated values
DOS at the Fermi energy	0.5185	states/eV/atom
DFT total energy	-39.8592	eV per atom
space-group type	No. 6



# 3
Density functional theory data (SCAN) for a PBEsol-optimized structure of KLiPb3.

CIF file:
```
data_KLiPb3
_cell_length_a 5.289
_cell_length_b 5.289
_cell_length_c 5.289
_cell_angle_alpha 90.00
_cell_angle_beta 90.00
_cell_angle_gamma 90.00
_symmetry_space_group_name_H-M 'P 1'
_symmetry_Int_Tables_number 1
loop_
_symmetry_equiv_pos_as_xyz
'x,y,z'
loop_
_atom_site_label
_atom_site_fract_x
_atom_site_fract_y
_atom_site_fract_z
Pb1 0.000 0.500 0.000
Pb2 0.000 0.000 0.500
Pb3 0.500 0.000 0.000
K1 0.500 0.500 0.500
Li1 0.000 0.000 0.000
```

Calculated values
DOS at the Fermi energy	0.3524	states/eV/atom
DFT total energy	-47.7652	eV per atom
space-group type	No. 221



# 4
Density functional theory data (SCAN) for a PBEsol-optimized structure of HfAsIr3.

CIF file:
```
data_HfAsIr3
_cell_length_a 4.756
_cell_length_b 4.756
_cell_length_c 4.756
_cell_angle_alpha 90.00
_cell_angle_beta 90.00
_cell_angle_gamma 90.00
_symmetry_space_group_name_H-M 'P 1'
_symmetry_Int_Tables_number 1
loop_
_symmetry_equiv_pos_as_xyz
'x,y,z'
loop_
_atom_site_label
_atom_site_fract_x
_atom_site_fract_y
_atom_site_fract_z
As1 0.500 0.500 0.500
Ir1 0.000 0.500 0.000
Ir2 0.000 0.000 0.500
Ir3 0.500 0.000 0.000
Hf1 0.000 0.000 0.000
```

Calculated values
DOS at the Fermi energy	0.7758	states/eV/atom
DFT total energy	-57.4834	eV per atom
space-group type	No. 221



# 5
Density functional theory data (SCAN) for a PBEsol-optimized structure of BeAg2As.

CIF file:
```
data_BeAg2As
_cell_length_a 2.876
_cell_length_b 2.876
_cell_length_c 8.647
_cell_angle_alpha 80.43
_cell_angle_beta 80.43
_cell_angle_gamma 60.00
_symmetry_space_group_name_H-M 'P 1'
_symmetry_Int_Tables_number 1
loop_
_symmetry_equiv_pos_as_xyz
'x,y,z'
loop_
_atom_site_label
_atom_site_fract_x
_atom_site_fract_y
_atom_site_fract_z
Be1 0.000 0.000 0.000
As1 0.500 0.500 0.500
Ag1 0.261 0.261 0.216
Ag2 0.739 0.739 0.784
```

Calculated values
DOS at the Fermi energy	0.2988	states/eV/atom
ΔE to the lowest computed polymorph	0.026	eV/atom
DFT total energy	-21.6134	eV per atom
space-group type	No. 166



# 6
Density functional theory data (SCAN) for a PBEsol-optimized structure of MnTl3Sn.

CIF file:
```
data_MnTl3Sn
_cell_length_a 5.104
_cell_length_b 5.104
_cell_length_c 5.104
_cell_angle_alpha 90.00
_cell_angle_beta 90.00
_cell_angle_gamma 90.00
_symmetry_space_group_name_H-M 'P 1'
_symmetry_Int_Tables_number 1
loop_
_symmetry_equiv_pos_as_xyz
'x,y,z'
loop_
_atom_site_label
_atom_site_fract_x
_atom_site_fract_y
_atom_site_fract_z
Tl1 0.000 0.500 0.000
Tl2 0.000 0.000 0.500
Tl3 0.500 0.000 0.000
Mn1 0.000 0.000 0.000
Sn1 0.500 0.500 0.500
```

Calculated values
DOS at the Fermi energy	0.5760	states/eV/atom
ΔE to the lowest computed polymorph	0.000	eV/atom
DFT total energy	-53.9140	eV per atom
space-group type	No. 221



no.,ΔH_f (0 K) (eV/atom)
1,-0.079
2,-0.066
3,-0.153
4,1.749
5,0.206
6,0.336